Computed, not measured: ReAg2Pt after structural relaxation at the GGA-PBEsol level of DFT.

Calculated values
The calculation puts the formation energy at 0.5929 eV per atom. Its energy above the most stable polymorph in this dataset is 0.78 eV/f.u. For the size of the total moment, the calculation gives 0.86 μB/f.u. The total DFT energy (no corrections) is -6.14 eV/atom. Its symmetry is F-43m.

```
data_ReAg2Pt
_chemical_formula_sum 'Re1 Ag2 Pt1'
_symmetry_space_group_name_H-M 'P 1'
_symmetry_Int_Tables_number 1
_cell_length_a 4.450
_cell_length_b 4.450
_cell_length_c 4.450
_cell_angle_alpha 60.00
_cell_angle_beta 60.00
_cell_angle_gamma 60.00
loop_
_symmetry_equiv_pos_as_xyz
'x,y,z'
loop_
_atom_site_label
_atom_site_type_symbol
_atom_site_fract_x
_atom_site_fract_y
_atom_site_fract_z
Re1 Re 0.000 0.000 0.000
Ag1 Ag 0.250 0.250 0.250
Ag2 Ag 0.500 0.500 0.500
Pt1 Pt 0.750 0.750 0.750
```

Computed, not measured: BeCoCu2 after structural relaxation at the GGA-PBEsol level of DFT.

Calculated values
The calculation puts the formation energy at 0.0671 eV per atom. For the size of the total moment, the calculation gives 1.14 μB/f.u. The total DFT energy (no corrections) is -5.03 eV/atom. Its symmetry is P2/m.

```
data_BeCoCu2
_chemical_formula_sum 'Be1 Co1 Cu2'
_symmetry_space_group_name_H-M 'P 1'
_symmetry_Int_Tables_number 1
_cell_length_a 2.400
_cell_length_b 3.732
_cell_length_c 4.706
_cell_angle_alpha 90.00
_cell_angle_beta 104.28
_cell_angle_gamma 90.00
loop_
_symmetry_equiv_pos_as_xyz
'x,y,z'
loop_
_atom_site_label
_atom_site_type_symbol
_atom_site_fract_x
_atom_site_fract_y
_atom_site_fract_z
Be1 Be 0.000 0.000 0.000
Co1 Co 0.000 0.000 0.500
Cu1 Cu 0.420 0.500 0.240
Cu2 Cu 0.580 0.500 0.760
```

Computed, not measured: SiRu2Br after structural relaxation at the GGA-PBEsol level of DFT.

Calculated values
Its energy above the most stable polymorph in this dataset is 0.24 eV/f.u. For the size of the total moment, the calculation gives 0.00 μB/f.u. The uncorrected formation energy comes out at 0.615 eV/atom. The total DFT energy (no corrections) is -6.38 eV/atom. Its symmetry is Cmm2.

```
data_SiRu2Br
_chemical_formula_sum 'Si1 Ru2 Br1'
_symmetry_space_group_name_H-M 'P 1'
_symmetry_Int_Tables_number 1
_cell_length_a 2.817
_cell_length_b 2.817
_cell_length_c 9.392
_cell_angle_alpha 90.00
_cell_angle_beta 90.00
_cell_angle_gamma 120.10
loop_
_symmetry_equiv_pos_as_xyz
'x,y,z'
loop_
_atom_site_label
_atom_site_type_symbol
_atom_site_fract_x
_atom_site_fract_y
_atom_site_fract_z
Si1 Si 0.000 0.000 0.000
Ru1 Ru 0.000 0.000 0.558
Ru2 Ru 0.500 0.500 0.790
Br1 Br 0.500 0.500 0.328
```

Computed, not measured: SrTl2Pb after structural relaxation at the GGA-PBEsol level of DFT.

Calculated values
The calculation puts the formation energy at -0.2483 eV per atom. For the size of the total moment, the calculation gives 0.00 μB/f.u. The total DFT energy (no corrections) is -3.02 eV/atom. Its symmetry is Pmm2.

```
data_SrTl2Pb
_chemical_formula_sum 'Sr1 Tl2 Pb1'
_symmetry_space_group_name_H-M 'P 1'
_symmetry_Int_Tables_number 1
_cell_length_a 3.861
_cell_length_b 4.308
_cell_length_c 7.245
_cell_angle_alpha 90.00
_cell_angle_beta 90.00
_cell_angle_gamma 90.00
loop_
_symmetry_equiv_pos_as_xyz
'x,y,z'
loop_
_atom_site_label
_atom_site_type_symbol
_atom_site_fract_x
_atom_site_fract_y
_atom_site_fract_z
Sr1 Sr 0.000 0.000 0.000
Tl1 Tl 0.000 0.000 0.496
Tl2 Tl 0.500 0.500 0.273
Pb1 Pb 0.500 0.500 0.718
```

Computed, not measured: BeInPt3 after structural relaxation at the GGA-PBEsol level of DFT.

Calculated values
The calculation puts the formation energy at 1.5407 eV per atom. For the size of the total moment, the calculation gives 0.00 μB/f.u. The total DFT energy (no corrections) is -4.03 eV/atom. Its symmetry is Pm-3m.

```
data_BeInPt3
_chemical_formula_sum 'Be1 In1 Pt3'
_symmetry_space_group_name_H-M 'P 1'
_symmetry_Int_Tables_number 1
_cell_length_a 4.835
_cell_length_b 4.835
_cell_length_c 4.835
_cell_angle_alpha 90.00
_cell_angle_beta 90.00
_cell_angle_gamma 90.00
loop_
_symmetry_equiv_pos_as_xyz
'x,y,z'
loop_
_atom_site_label
_atom_site_type_symbol
_atom_site_fract_x
_atom_site_fract_y
_atom_site_fract_z
Be1 Be 0.000 0.000 0.000
In1 In 0.500 0.500 0.500
Pt1 Pt 0.000 0.500 0.500
Pt2 Pt 0.500 0.000 0.500
Pt3 Pt 0.500 0.500 0.000
```

Computed, not measured: ScAu3 after structural relaxation at the GGA-PBEsol level of DFT.

Calculated values
The calculation puts the formation energy at -0.6085 eV per atom. For the size of the total moment, the calculation gives 0.00 μB/f.u. The total DFT energy (no corrections) is -5.20 eV/atom. Its symmetry is Fm-3m.

```
data_ScAu3
_chemical_formula_sum 'Sc1 Au3'
_symmetry_space_group_name_H-M 'P 1'
_symmetry_Int_Tables_number 1
_cell_length_a 4.634
_cell_length_b 4.634
_cell_length_c 4.634
_cell_angle_alpha 60.00
_cell_angle_beta 60.00
_cell_angle_gamma 60.00
loop_
_symmetry_equiv_pos_as_xyz
'x,y,z'
loop_
_atom_site_label
_atom_site_type_symbol
_atom_site_fract_x
_atom_site_fract_y
_atom_site_fract_z
Sc1 Sc 0.000 0.000 0.000
Au1 Au 0.250 0.250 0.250
Au2 Au 0.500 0.500 0.500
Au3 Au 0.750 0.750 0.750
```

Computed, not measured: CaInSi2 after structural relaxation at the GGA-PBEsol level of DFT.

Calculated values
For the size of the total moment, the calculation gives 0.00 μB/f.u. The uncorrected formation energy comes out at -0.166 eV/atom. The total DFT energy (no corrections) is -4.32 eV/atom. Its symmetry is Pm.

```
data_CaInSi2
_chemical_formula_sum 'Ca1 In1 Si2'
_symmetry_space_group_name_H-M 'P 1'
_symmetry_Int_Tables_number 1
_cell_length_a 4.694
_cell_length_b 3.716
_cell_length_c 5.544
_cell_angle_alpha 90.00
_cell_angle_beta 114.32
_cell_angle_gamma 90.00
loop_
_symmetry_equiv_pos_as_xyz
'x,y,z'
loop_
_atom_site_label
_atom_site_type_symbol
_atom_site_fract_x
_atom_site_fract_y
_atom_site_fract_z
Ca1 Ca 0.000 0.000 0.000
In1 In 0.709 0.500 0.426
Si1 Si 0.288 0.000 0.584
Si2 Si 0.445 0.500 0.883
```

Computed, not measured: LaPtC3 after structural relaxation at the GGA-PBEsol level of DFT.

Calculated values
The calculation puts the formation energy at 1.3541 eV per atom. For the size of the total moment, the calculation gives 0.00 μB/f.u. The total DFT energy (no corrections) is -6.89 eV/atom. Its symmetry is Pm-3m.

```
data_LaPtC3
_chemical_formula_sum 'La1 Pt1 C3'
_symmetry_space_group_name_H-M 'P 1'
_symmetry_Int_Tables_number 1
_cell_length_a 4.053
_cell_length_b 4.053
_cell_length_c 4.053
_cell_angle_alpha 90.00
_cell_angle_beta 90.00
_cell_angle_gamma 90.00
loop_
_symmetry_equiv_pos_as_xyz
'x,y,z'
loop_
_atom_site_label
_atom_site_type_symbol
_atom_site_fract_x
_atom_site_fract_y
_atom_site_fract_z
La1 La 0.000 0.000 0.000
Pt1 Pt 0.500 0.500 0.500
C1 C 0.000 0.500 0.500
C2 C 0.500 0.000 0.500
C3 C 0.500 0.500 0.000
```

Which value of size of the total moment does entry 8 give? 0.00 μB/f.u.

Copy entry 6 word for word.
Computed, not measured: ScAu3 after structural relaxation at the GGA-PBEsol level of DFT.

Calculated values
The calculation puts the formation energy at -0.6085 eV per atom. For the size of the total moment, the calculation gives 0.00 μB/f.u. The total DFT energy (no corrections) is -5.20 eV/atom. Its symmetry is Fm-3m.

```
data_ScAu3
_chemical_formula_sum 'Sc1 Au3'
_symmetry_space_group_name_H-M 'P 1'
_symmetry_Int_Tables_number 1
_cell_length_a 4.634
_cell_length_b 4.634
_cell_length_c 4.634
_cell_angle_alpha 60.00
_cell_angle_beta 60.00
_cell_angle_gamma 60.00
loop_
_symmetry_equiv_pos_as_xyz
'x,y,z'
loop_
_atom_site_label
_atom_site_type_symbol
_atom_site_fract_x
_atom_site_fract_y
_atom_site_fract_z
Sc1 Sc 0.000 0.000 0.000
Au1 Au 0.250 0.250 0.250
Au2 Au 0.500 0.500 0.500
Au3 Au 0.750 0.750 0.750
```